--- a ---
DFT (PBE-GGA) results for LiTl3In after structural relaxation.

## Properties
- Total magnetization: 0.00 Bohr magnetons per cell
- Symmetry: C2/m

Cell lengths 3.566, 8.341, 11.005 Å; angles 124.35, 99.33, 90.00 degrees
Fractional coordinates of all 10 atoms:
1 Li 0.605 0.136 0.209
2 Tl 0.995 0.785 0.990
3 In 0.812 0.507 0.623
4 Tl 0.401 0.346 0.803
5 Li 0.395 0.864 0.791
6 Tl 0.208 0.091 0.415
7 Tl 0.599 0.654 0.197
8 In 0.188 0.493 0.377
9 Tl 0.792 0.909 0.585
10 Tl 0.005 0.215 0.010

=====

--- b ---
DFT (PBE-GGA) results for LiTl3In after structural relaxation.

## Properties
- Total magnetization: 0.00 Bohr magnetons per cell
- Symmetry: Pm-3m

Cell lengths 5.228, 5.228, 5.228 Å; angles 90.00, 90.00, 90.00 degrees
Fractional coordinates of all 5 atoms:
1 Tl 0.500 0.000 0.000
2 In 0.500 0.500 0.500
3 Tl 0.000 0.500 0.000
4 Tl 0.000 0.000 0.500
5 Li 0.000 0.000 0.000

=====

--- c ---
DFT (PBE-GGA) results for LiTl3In after structural relaxation.

## Properties
- Total magnetization: 0.00 Bohr magnetons per cell
- Symmetry: C2/m

Cell lengths 6.605, 6.605, 8.076 Å; angles 93.83, 124.71, 102.82 degrees
Fractional coordinates of all 10 atoms:
1 Tl 0.248 0.410 0.175
2 Tl 0.766 0.927 0.175
3 Tl 0.801 0.440 0.240
4 Li 0.744 0.750 0.495
5 In 0.313 0.932 0.245
6 Tl 0.199 0.560 0.760
7 Li 0.256 0.250 0.505
8 In 0.687 0.068 0.755
9 Tl 0.234 0.073 0.825
10 Tl 0.752 0.590 0.825

=====

The data favor a; the next most stable structure lies 41 meV per atom above it.